No. 1
{"formula": "BaMg2Fe", "functional": "PBEsol", "state": "relaxed", "cell": [[-2.409, 2.409, 4.333], [2.409, -2.409, 4.333], [2.409, 2.409, -4.333]], "species": ["Ba", "Mg", "Mg", "Fe"], "fractional_positions": [[0.000, 0.000, 0.000], [0.250, 0.750, 0.500], [0.750, 0.250, 0.500], [0.500, 0.500, 0.000]], "dos_ef_per_ev_cell": 6.73, "spacegroup": "No. 139", "energy_ev_per_atom": -3.059, "vol_a3_per_atom": 25.1}



No. 2
{"formula": "Ta2BeCu", "functional": "PBEsol", "state": "relaxed", "cell": [[-1.830, 1.830, 4.220], [1.830, -1.830, 4.220], [1.830, 1.830, -4.220]], "species": ["Ta", "Ta", "Be", "Cu"], "fractional_positions": [[0.000, 0.000, 0.000], [0.750, 0.250, 0.500], [0.500, 0.500, 0.000], [0.250, 0.750, 0.500]], "dos_ef_per_ev_cell": 3.74, "spacegroup": "No. 119", "energy_ev_per_atom": -8.165, "vol_a3_per_atom": 14.1}



No. 3
{"formula": "CuTe2RhI", "functional": "PBEsol", "state": "relaxed", "cell": [[4.980, 0.000, 0.000], [0.000, 4.980, 0.000], [0.000, 0.000, 5.089]], "species": ["Cu", "Te", "Te", "Rh", "I"], "fractional_positions": [[0.000, 0.000, 0.000], [0.000, 0.500, 0.000], [0.500, 0.000, 0.000], [0.500, 0.500, 0.500], [0.000, 0.000, 0.500]], "dos_ef_per_ev_cell": 6.55, "formation_energy_uncorrected_mev_per_atom": 969, "spacegroup": "No. 123", "vol_a3_per_atom": 25.2}



No. 4
{"formula": "ZnCI2O", "functional": "PBEsol", "state": "relaxed", "cell": [[5.994, 0.000, 0.000], [0.000, 5.994, 0.000], [0.000, 0.000, 2.995]], "species": ["Zn", "C", "I", "I", "O"], "fractional_positions": [[0.000, 0.000, 0.000], [0.500, 0.500, 0.500], [0.000, 0.500, 0.500], [0.500, 0.000, 0.500], [0.500, 0.500, 0.000]], "dos_ef_per_ev_cell": 2.36, "formation_energy_uncorrected_mev_per_atom": 903, "spacegroup": "No. 123", "vol_a3_per_atom": 21.5}



Question: Number 4 is which compound?
Answer: ZnCI2O